# MgNbAu2

A relaxed structure of MgNbAu2 (PBE-GGA, the Alexandria database).

abc: 4.233 4.233 9.535
angles: 77.18 77.18 90.00
Element x y z (fractional)
1 Au 0.135 0.625 0.250
2 Au 0.875 0.865 0.750
3 Au 0.615 0.125 0.250
4 Au 0.375 0.385 0.750
5 Nb 0.000 0.000 0.000
6 Nb 0.750 0.250 0.500
7 Mg 0.500 0.500 0.000
8 Mg 0.250 0.750 0.500

The calculation puts the size of the total moment at 0.000 μB/f.u. The energy relative to the elements comes out at 119 kJ/mol of formula units. The crystal system is tetragonal.